RbNa2FeAu: relaxed, PBE.

The formation energy from the elements comes out at 321 kJ/mol of formula units.

It has space group P4/mmm (No. 123), with a = 5.601 Å, b = 5.601 Å, c = 6.443 Å, α = 90.00°, β = 90.00° and γ = 90.00°. The asymmetric unit holds Rb at (0.000, 0.000, 0.000), Na at (0.000, 0.500, 0.500), Fe at (0.500, 0.500, 0.000) and Au at (0.000, 0.000, 0.500).